Material: K3Na2MnF9
Method: DFT, PBE with a Hubbard U
State: relaxed

Summary:
VASP energy	-4.64	eV/atom

a = 6.0807 Å, b = 6.0807 Å, c = 7.4557 Å
α = 90.00°, β = 90.00°, γ = 120.00°
Space group P-3m1 (No. 164)
One atom of each set of equivalent atoms:
K  0.0000  0.0000  0.0000 [1 per cell]
K  0.3333  0.6667  0.7402 [2 per cell]
Na  0.3333  0.6667  0.1748 [2 per cell]
Mn  0.0000  0.0000  0.5000 [1 per cell]
F  0.0000  0.5000  0.0000 [3 per cell]
F  0.1436  0.2873  0.3569 [6 per cell]